Entry 1:
VASP calculation (GGA-PBE) on a geometry-optimized UMnP structure.

Formation energy from the elements (eV per atom): -0.03

a = 4.0390 Å, b = 4.0390 Å, c = 4.4669 Å
α = 116.88°, β = 116.88°, γ = 90.00°
With the nearest neighbours (Å) after each atom.
Element x y z (fractional)
P 0.2626 0.2626 0.5252  1 Mn 2.20
Mn 0.9420 0.9420 0.8840  1 U 2.04, 1 P 2.20
U 0.6454 0.6454 0.2908  1 Mn 2.04

Entry 2:
VASP calculation (GGA-PBE) on a geometry-optimized N structure.

Polymorph energy (0 for the lowest one) (meV per atom): 3079
ΔE_f (raw) (meV per atom): 3079

a = 5.0156 Å, b = 5.0156 Å, c = 5.0156 Å
α = 90.00°, β = 90.00°, γ = 90.00°
With the nearest neighbours (Å) after each atom.
Element x y z (fractional)
N 0.2500 0.5000 0.0000  4 N 1.77
N 0.7500 0.0000 0.5000  4 N 1.77
N 0.7500 0.5000 0.0000  4 N 1.77
N 0.5000 0.0000 0.2500  4 N 1.77
N 0.5000 0.2500 0.0000  4 N 1.77
N 0.0000 0.7500 0.5000  4 N 1.77
N 0.0000 0.2500 0.5000  4 N 1.77
N 0.5000 0.0000 0.7500  4 N 1.77
N 0.0000 0.5000 0.7500  4 N 1.77
N 0.5000 0.7500 0.0000  4 N 1.77
N 0.2500 0.0000 0.5000  4 N 1.77
N 0.0000 0.5000 0.2500  4 N 1.77

Entry 3:
VASP calculation (GGA-PBE) on a geometry-optimized Ac4Ge2Ru structure.

Polymorph energy (0 for the lowest one) (meV per atom): 128
Formation energy from the elements (eV per atom): -0.32

a = 5.3979 Å, b = 5.3979 Å, c = 9.2371 Å
α = 106.99°, β = 106.99°, γ = 90.00°
With the nearest neighbours (Å) after each atom.
Element x y z (fractional)
Ac 0.8175 0.8175 0.6350  1 Ru 3.07, 1 Ge 3.12
Ru 0.0000 0.0000 0.0000  4 Ac 2.70
Ac 0.0000 0.5000 0.0000  2 Ru 2.70
Ge 0.3677 0.3677 0.7355  1 Ac 3.12
Ge 0.6323 0.6323 0.2645  1 Ac 3.12
Ac 0.1825 0.1825 0.3650  1 Ru 3.07, 1 Ge 3.12
Ac 0.5000 0.0000 0.0000  2 Ru 2.70